1.
Compound: MnVSiO6
Source: Alexandria via LeMat-Bulk
Functional: GGA+U
Structure: optimized geometry

The density of states at the Fermi level is 0.313 states/eV/atom. The total energy comes out at -7.4957 eV per atom. As for the space-group type: No. 163.

Cell lengths 4.8162, 4.8162, 8.7848 Å; angles 90.00, 90.00, 120.00 degrees
Closest atoms and distances in Å follow each position.
Positions (direct):
Mn1 0.0000 0.0000 0.0000  6 O 2.10
Mn2 0.0000 0.0000 0.5000  6 O 2.10
V1 0.3333 0.6667 0.2500  6 O 1.89
V2 0.6667 0.3333 0.7500  6 O 1.89
Si1 0.3333 0.6667 0.7500  6 O 1.79
Si2 0.6667 0.3333 0.2500  6 O 1.79
O1 0.0159 0.3657 0.6371  1 Si 1.79, 1 V 1.89
O2 0.0159 0.6502 0.8629  1 Si 1.79, 1 V 1.89
O3 0.3498 0.3657 0.8629  1 Si 1.79, 1 V 1.89
O4 0.3498 0.9841 0.6371  1 Si 1.79, 1 V 1.89
O5 0.3657 0.0159 0.1371  1 Si 1.79, 1 V 1.89
O6 0.3657 0.3498 0.3629  1 Si 1.79, 1 V 1.89
O7 0.6343 0.6502 0.6371  1 Si 1.79, 1 V 1.89
O8 0.6343 0.9841 0.8629  1 Si 1.79, 1 V 1.89
O9 0.6502 0.0159 0.3629  1 Si 1.79, 1 V 1.89
O10 0.6502 0.6343 0.1371  1 Si 1.79, 1 V 1.89
O11 0.9841 0.3498 0.1371  1 Si 1.79, 1 V 1.89
O12 0.9841 0.6343 0.3629  1 Si 1.79, 1 V 1.89

2.
Compound: MnZnSiO2
Source: Alexandria via LeMat-Bulk
Functional: GGA+U
Structure: optimized geometry

The density of states at the Fermi level is 0.642 states/eV/atom. The total energy comes out at -4.7377 eV per atom. As for the space-group type: No. 123.

Cell lengths 3.5830, 3.5830, 5.0967 Å; angles 90.00, 90.00, 90.00 degrees
Closest atoms and distances in Å follow each position.
Positions (direct):
Mn1 0.0000 0.0000 0.0000  4 O 1.79
Zn1 0.5000 0.5000 0.5000  4 Si 2.53
Si1 0.0000 0.0000 0.5000  4 Zn 2.53, 2 Mn 2.55
O1 0.0000 0.5000 0.0000  2 Mn 1.79
O2 0.5000 0.0000 0.0000  2 Mn 1.79

3.
Compound: MnZnSi4O10
Source: Alexandria via LeMat-Bulk
Functional: GGA+U
Structure: optimized geometry

The density of states at the Fermi level is 0.000 states/eV/atom. The total energy comes out at -7.4322 eV per atom. As for the space-group type: No. 130.

Cell lengths 7.3783, 7.3783, 14.9707 Å; angles 90.00, 90.00, 90.00 degrees
Closest atoms and distances in Å follow each position.
Positions (direct):
Mn1 0.2500 0.2500 0.0599  4 O 2.16
Mn2 0.2500 0.2500 0.5599  4 O 2.16
Mn3 0.7500 0.7500 0.4401  4 O 2.16
Mn4 0.7500 0.7500 0.9401  4 O 2.16
Zn1 0.2500 0.7500 0.0000  4 O 2.09
Zn2 0.2500 0.7500 0.5000  4 O 2.09
Zn3 0.7500 0.2500 0.0000  4 O 2.09
Zn4 0.7500 0.2500 0.5000  4 O 2.09
Si1 0.0137 0.5988 0.1460  4 O 1.62-1.63
Si2 0.0137 0.9012 0.6460  4 O 1.62-1.63
Si3 0.0988 0.5137 0.3540  4 O 1.62-1.63
Si4 0.0988 0.9863 0.8540  4 O 1.62-1.63
Si5 0.4012 0.5137 0.8540  4 O 1.62-1.63
Si6 0.4012 0.9863 0.3540  4 O 1.62-1.63
Si7 0.4863 0.5988 0.6460  4 O 1.62-1.63
Si8 0.4863 0.9012 0.1460  4 O 1.62-1.63
Si9 0.5137 0.0988 0.8540  4 O 1.62-1.63
Si10 0.5137 0.4012 0.3540  4 O 1.62-1.63
Si11 0.5988 0.0137 0.6460  4 O 1.62-1.63
Si12 0.5988 0.4863 0.1460  4 O 1.62-1.63
Si13 0.9012 0.0137 0.1460  4 O 1.62-1.63
Si14 0.9012 0.4863 0.6460  4 O 1.62-1.63
Si15 0.9863 0.0988 0.3540  4 O 1.62-1.63
Si16 0.9863 0.4012 0.8540  4 O 1.62-1.63
O1 0.0076 0.1840 0.8723  2 Si 1.63
O2 0.0076 0.3160 0.3723  2 Si 1.63
O3 0.0278 0.6648 0.4245  1 Si 1.62
O4 0.0278 0.8352 0.9245  1 Si 1.62
O5 0.0674 0.5674 0.2500  2 Si 1.62
O6 0.0674 0.9326 0.7500  2 Si 1.62
O7 0.1648 0.5278 0.0755  1 Si 1.62
O8 0.1648 0.9722 0.5755  1 Si 1.62
O9 0.1840 0.0076 0.3723  2 Si 1.63
O10 0.1840 0.4924 0.8723  2 Si 1.63
O11 0.3160 0.0076 0.8723  2 Si 1.63
O12 0.3160 0.4924 0.3723  2 Si 1.63
O13 0.3352 0.5278 0.5755  1 Si 1.62
O14 0.3352 0.9722 0.0755  1 Si 1.62
O15 0.4326 0.5674 0.7500  2 Si 1.62
O16 0.4326 0.9326 0.2500  2 Si 1.62
O17 0.4722 0.6648 0.9245  1 Si 1.62
O18 0.4722 0.8352 0.4245  1 Si 1.62
O19 0.4924 0.1840 0.3723  2 Si 1.63
O20 0.4924 0.3160 0.8723  2 Si 1.63
O21 0.5076 0.6840 0.1277  2 Si 1.63
O22 0.5076 0.8160 0.6277  2 Si 1.63
O23 0.5278 0.1648 0.5755  1 Si 1.62
O24 0.5278 0.3352 0.0755  1 Si 1.62
O25 0.5674 0.0674 0.7500  2 Si 1.62
O26 0.5674 0.4326 0.2500  2 Si 1.62
O27 0.6648 0.0278 0.9245  1 Si 1.62
O28 0.6648 0.4722 0.4245  1 Si 1.62
O29 0.6840 0.5076 0.6277  2 Si 1.63
O30 0.6840 0.9924 0.1277  2 Si 1.63
O31 0.8160 0.5076 0.1277  2 Si 1.63
O32 0.8160 0.9924 0.6277  2 Si 1.63
O33 0.8352 0.0278 0.4245  1 Si 1.62
O34 0.8352 0.4722 0.9245  1 Si 1.62
O35 0.9326 0.0674 0.2500  2 Si 1.62
O36 0.9326 0.4326 0.7500  2 Si 1.62
O37 0.9722 0.1648 0.0755  1 Si 1.62
O38 0.9722 0.3352 0.5755  1 Si 1.62
O39 0.9924 0.6840 0.6277  2 Si 1.63
O40 0.9924 0.8160 0.1277  2 Si 1.63

4.
Compound: Zr2MnSiO
Source: Alexandria via LeMat-Bulk
Functional: GGA+U
Structure: optimized geometry

The density of states at the Fermi level is 1.025 states/eV/atom. The total energy comes out at -6.3298 eV per atom. As for the space-group type: No. 123.

Cell lengths 4.9849, 4.9849, 4.4976 Å; angles 90.00, 90.00, 90.00 degrees
Closest atoms and distances in Å follow each position.
Positions (direct):
Zr1 0.0000 0.5000 0.0000  2 Si 2.49
Zr2 0.5000 0.0000 0.0000  2 Si 2.49
Mn1 0.0000 0.0000 0.5000  2 Si 2.25
Si1 0.0000 0.0000 0.0000  2 Mn 2.25, 4 Zr 2.49
O1 0.5000 0.5000 0.5000  8 Zr 3.36, 4 Mn 3.52

5.
Compound: Sm2MnO6
Source: Alexandria via LeMat-Bulk
Functional: GGA+U
Structure: optimized geometry

The density of states at the Fermi level is 0.360 states/eV/atom. The total energy comes out at -7.2952 eV per atom. As for the space-group type: No. 71.

Cell lengths 6.2487, 6.2487, 6.2487 Å; angles 141.51, 129.42, 65.31 degrees
Closest atoms and distances in Å follow each position.
Positions (direct):
Sm1 0.1787 0.1787 0.0000  6 O 2.27-2.48
Sm2 0.8213 0.8213 0.0000  6 O 2.27-2.48
Mn1 0.5000 0.5000 0.0000  8 O 2.03-2.18
O1 0.1055 0.3534 0.7521  1 Mn 2.03, 1 Sm 2.27
O2 0.3653 0.0000 0.3653  1 O 1.44
O3 0.3987 0.6466 0.7521  1 Mn 2.03, 1 Sm 2.27
O4 0.6013 0.3534 0.2479  1 Mn 2.03, 1 Sm 2.27
O5 0.6347 0.0000 0.6347  1 O 1.44
O6 0.8945 0.6466 0.2479  1 Mn 2.03, 1 Sm 2.27

6.
Compound: Sm2Mn2O7
Source: Alexandria via LeMat-Bulk
Functional: GGA+U
Structure: optimized geometry

The total energy comes out at -7.7383 eV per atom. As for the space-group type: No. 227.

Cell lengths 7.2104, 7.2104, 7.2104 Å; angles 60.00, 60.00, 60.00 degrees
Closest atoms and distances in Å follow each position.
Positions (direct):
Sm1 0.0000 0.0000 0.0000  2 O 2.21
Sm2 0.0000 0.0000 0.5000  2 O 2.21
Sm3 0.0000 0.5000 0.0000  2 O 2.21
Sm4 0.5000 0.0000 0.0000  2 O 2.21
Mn1 0.0000 0.5000 0.5000  6 O 1.97
Mn2 0.5000 0.0000 0.5000  6 O 1.97
Mn3 0.5000 0.5000 0.0000  6 O 1.97
Mn4 0.5000 0.5000 0.5000  6 O 1.97
O1 0.1250 0.1250 0.1250  4 Sm 2.21
O2 0.1725 0.1725 0.5775  2 Mn 1.97
O3 0.1725 0.5775 0.1725  2 Mn 1.97
O4 0.1725 0.5775 0.5775  2 Mn 1.97
O5 0.4225 0.4225 0.8275  2 Mn 1.97
O6 0.4225 0.8275 0.4225  2 Mn 1.97
O7 0.4225 0.8275 0.8275  2 Mn 1.97
O8 0.5775 0.1725 0.1725  2 Mn 1.97
O9 0.5775 0.1725 0.5775  2 Mn 1.97
O10 0.5775 0.5775 0.1725  2 Mn 1.97
O11 0.8275 0.4225 0.4225  2 Mn 1.97
O12 0.8275 0.4225 0.8275  2 Mn 1.97
O13 0.8275 0.8275 0.4225  2 Mn 1.97
O14 0.8750 0.8750 0.8750  4 Sm 2.21

7.
Compound: Sm3MnO7
Source: Alexandria via LeMat-Bulk
Functional: GGA+U
Structure: optimized geometry

The density of states at the Fermi level is 0.539 states/eV/atom. The total energy comes out at -7.8009 eV per atom. As for the space-group type: No. 20.

Cell lengths 6.5456, 6.5456, 7.5070 Å; angles 90.00, 90.00, 109.21 degrees
Closest atoms and distances in Å follow each position.
Positions (direct):
Sm1 0.0279 0.0279 0.0000  6 O 2.35-2.47
Sm2 0.0395 0.4961 0.2559  7 O 2.28-2.48
Sm3 0.4961 0.0395 0.7441  7 O 2.28-2.48
Sm4 0.5039 0.9605 0.2441  7 O 2.28-2.48
Sm5 0.9605 0.5039 0.7559  7 O 2.28-2.48
Sm6 0.9721 0.9721 0.5000  6 O 2.35-2.47
Mn1 0.4964 0.4964 0.0000  6 O 1.94-2.00
Mn2 0.5036 0.5036 0.5000  6 O 1.94-2.00
O1 0.1303 0.8697 0.7500  4 Sm 2.28-2.35
O2 0.1348 0.8652 0.2500  4 Sm 2.29-2.37
O3 0.1827 0.4248 0.9745  1 Mn 1.96
O4 0.1943 0.4352 0.5339  1 Mn 1.94
O5 0.4248 0.1827 0.0255  1 Mn 1.96
O6 0.4352 0.1943 0.4661  1 Mn 1.94
O7 0.4347 0.5653 0.2500  2 Mn 2.00
O8 0.5653 0.4347 0.7500  2 Mn 2.00
O9 0.5648 0.8057 0.9661  1 Mn 1.94
O10 0.5752 0.8173 0.5255  1 Mn 1.96
O11 0.8057 0.5648 0.0339  1 Mn 1.94
O12 0.8173 0.5752 0.4745  1 Mn 1.96
O13 0.8652 0.1348 0.7500  4 Sm 2.29-2.37
O14 0.8697 0.1303 0.2500  4 Sm 2.28-2.35

8.
Compound: Sm3MnO6
Source: Alexandria via LeMat-Bulk
Functional: GGA+U
Structure: optimized geometry

The total energy comes out at -8.0681 eV per atom. As for the space-group type: No. 36.

Cell lengths 7.3095, 7.3095, 5.6043 Å; angles 90.00, 90.00, 101.57 degrees
Closest atoms and distances in Å follow each position.
Positions (direct):
Sm1 0.1037 0.8963 0.5000  7 O 2.34-2.59
Sm2 0.1889 0.4120 0.5486  6 O 2.30-2.51
Sm3 0.4120 0.1889 0.0486  6 O 2.30-2.51
Sm4 0.5880 0.8111 0.5486  6 O 2.30-2.51
Sm5 0.8111 0.5880 0.0486  6 O 2.30-2.51
Sm6 0.8963 0.1037 0.0000  7 O 2.34-2.59
Mn1 0.3300 0.6700 0.0736  4 O 1.90-1.98
Mn2 0.6700 0.3300 0.5736  4 O 1.90-1.98
O1 0.0899 0.5979 0.2461  1 Mn 1.98
O2 0.1450 0.1715 0.2759  4 Sm 2.30-2.36
O3 0.1715 0.1450 0.7759  4 Sm 2.30-2.36
O4 0.2816 0.7184 0.7467  1 Mn 1.91
O5 0.4021 0.9101 0.2461  1 Mn 1.98
O6 0.4621 0.5379 0.2839  1 Mn 1.90
O7 0.5379 0.4621 0.7839  1 Mn 1.90
O8 0.5979 0.0899 0.7461  1 Mn 1.98
O9 0.7184 0.2816 0.2467  1 Mn 1.91
O10 0.8285 0.8550 0.2759  4 Sm 2.30-2.36
O11 0.8550 0.8285 0.7759  4 Sm 2.30-2.36
O12 0.9101 0.4021 0.7461  1 Mn 1.98

| no. | M_tot (μB per formula unit) |
| --- | --- |
| 1 | 4.0 |
| 2 | 0.1 |
| 3 | 5.0 |
| 4 | 2.9 |
| 5 | 3.0 |
| 6 | 6.0 |
| 7 | 2.0 |
| 8 | 4.0 |